[1]
The following is a DFT calculation (PBE) of SnSbN after structural relaxation.

Output
volume: 33.82 A^3/atom
DOS at the Fermi energy: 0.2310 states/eV/atom
total magnetization: 0.0 μB per cell
E_tot: -5.372 eV per atom

abc: 3.2850 5.8402 10.8704
angles: 76.81 88.01 90.02
Element x y z (fractional)
Sn  0.6703  0.2224  0.7423
Sn  0.1874  0.3308  0.4919
Sb  0.8043  0.7997  0.5638
Sb  0.7385  0.6833  0.8340
N  0.1791  0.9124  0.1573
N  0.1961  0.1079  0.1272

=====

[2]
The following is a DFT calculation (PBE) of Sr2SnSbN after structural relaxation.

Output
volume: 25.96 A^3/atom
DOS at the Fermi energy: 0.2751 states/eV/atom
total magnetization: 0.0 μB per cell
E_tot: -4.413 eV per atom

abc: 5.2842 4.6488 5.2842
angles: 90.00 90.00 90.00
Element x y z (fractional)
Sb  0.0000  0.5000  0.0000
N  0.0000  0.0000  0.0000
Sn  0.5000  0.5000  0.5000
Sr  0.0000  0.0000  0.5000
Sr  0.5000  0.0000  0.0000

=====

[3]
The following is a DFT calculation (PBE) of Sr2SnSbN after structural relaxation.

Output
volume: 26.27 A^3/atom
DOS at the Fermi energy: 0.2907 states/eV/atom
total magnetization: 0.0 μB per cell
E_tot: -4.559 eV per atom

abc: 5.2908 5.2908 4.6928
angles: 90.00 90.00 90.00
Element x y z (fractional)
Sb  0.5000  0.5000  0.5000
N  0.0000  0.0000  0.0000
Sn  0.0000  0.0000  0.5000
Sr  0.0000  0.5000  0.0000
Sr  0.5000  0.0000  0.0000

=====

[4]
The following is a DFT calculation (PBE) of TaSnSbN2 after structural relaxation.

Output
volume: 19.12 A^3/atom
DOS at the Fermi energy: 0.6880 states/eV/atom
total magnetization: 0.0 μB per cell
E_tot: -5.535 eV per atom

abc: 4.0460 5.8402 4.0460
angles: 90.00 90.00 90.00
Element x y z (fractional)
Sb  0.0000  0.0000  0.0000
N  0.0000  0.0000  0.5000
N  0.5000  0.0000  0.0000
Sn  0.0000  0.5000  0.0000
Ta  0.5000  0.5000  0.5000

=====

[5]
The following is a DFT calculation (PBE) of TaSnSbN2 after structural relaxation.

Output
volume: 19.68 A^3/atom
DOS at the Fermi energy: 0.7274 states/eV/atom
total magnetization: 0.0 μB per cell
E_tot: -6.846 eV per atom

abc: 4.1047 5.8394 4.1047
angles: 90.00 90.00 90.00
Element x y z (fractional)
Sb  0.5000  0.5000  0.5000
N  0.0000  0.0000  0.5000
N  0.5000  0.0000  0.0000
Sn  0.0000  0.5000  0.0000
Ta  0.0000  0.0000  0.0000

=====

[6]
The following is a DFT calculation (PBE) of Tb4SnSbN after structural relaxation.

Output
volume: 25.40 A^3/atom
DOS at the Fermi energy: 0.9348 states/eV/atom
total magnetization: 0.0 μB per cell
E_tot: -6.022 eV per atom

abc: 6.6531 6.6463 8.7024
angles: 90.00 112.47 90.00
Element x y z (fractional)
Tb  0.9111  0.2500  0.8222
Tb  0.4107  0.7500  0.8214
Tb  0.0889  0.7500  0.1778
Tb  0.5893  0.2500  0.1786
Tb  0.5000  0.5000  0.5000
Tb  0.0000  0.0000  0.5000
Tb  0.5000  0.0000  0.5000
Tb  0.0000  0.5000  0.5000
Sn  0.1070  0.2500  0.2141
Sn  0.8930  0.7500  0.7859
Sb  0.6079  0.7500  0.2157
Sb  0.3921  0.2500  0.7843
N  0.2495  0.7500  0.4990
N  0.7505  0.2500  0.5010

=====

[7]
The following is a DFT calculation (PBE) of SnSb2TeN after structural relaxation.

Output
volume: 23.23 A^3/atom
DOS at the Fermi energy: 0.8072 states/eV/atom
total magnetization: 0.0 μB per cell
E_tot: -4.195 eV per atom

abc: 4.8138 4.8138 5.0131
angles: 90.00 90.00 90.00
Element x y z (fractional)
Sb  0.0000  0.5000  0.0000
Sb  0.5000  0.0000  0.0000
Te  0.0000  0.0000  0.5000
Sn  0.5000  0.5000  0.5000
N  0.0000  0.0000  0.0000

=====

[8]
The following is a DFT calculation (PBE) of SnSbTeN2 after structural relaxation.

Output
volume: 21.70 A^3/atom
DOS at the Fermi energy: 0.7015 states/eV/atom
total magnetization: 1.5 μB per cell
E_tot: -4.295 eV per atom

abc: 4.2915 4.2915 5.8920
angles: 90.00 90.00 90.00
Element x y z (fractional)
Sb  0.5000  0.5000  0.5000
Te  0.0000  0.0000  0.5000
Sn  0.0000  0.0000  0.0000
N  0.0000  0.5000  0.0000
N  0.5000  0.0000  0.0000

=====

[9]
The following is a DFT calculation (PBE) of SnSbTeN2 after structural relaxation.

Output
volume: 21.15 A^3/atom
DOS at the Fermi energy: 0.9516 states/eV/atom
total magnetization: 0.0 μB per cell
E_tot: -4.421 eV per atom

abc: 4.2188 4.2188 5.9415
angles: 90.00 90.00 90.00
Element x y z (fractional)
Sb  0.0000  0.0000  0.0000
Te  0.0000  0.0000  0.5000
Sn  0.5000  0.5000  0.5000
N  0.0000  0.5000  0.0000
N  0.5000  0.0000  0.0000

=====

[10]
The following is a DFT calculation (PBE) of SnSb2TeN after structural relaxation.

Output
volume: 35.80 A^3/atom
DOS at the Fermi energy: 1.8843 states/eV/atom
total magnetization: 0.0 μB per cell
E_tot: -2.772 eV per atom

abc: 5.6584 5.6584 5.5907
angles: 90.00 90.00 90.00
Element x y z (fractional)
Sb  0.0000  0.5000  0.0000
Sb  0.5000  0.0000  0.0000
Te  0.0000  0.0000  0.5000
Sn  0.0000  0.0000  0.0000
N  0.5000  0.5000  0.5000

=====

[11]
The following is a DFT calculation (PBE) of ThSnSb2N after structural relaxation.

Output
volume: 28.09 A^3/atom
DOS at the Fermi energy: 0.5101 states/eV/atom
total magnetization: 0.0 μB per cell
E_tot: -6.237 eV per atom

abc: 4.0324 4.0324 17.2724
angles: 90.00 90.00 90.00
Element x y z (fractional)
Th  0.5000  0.0000  0.5681
Th  0.0000  0.5000  0.4319
Sn  0.5000  0.0000  0.1391
Sn  0.0000  0.5000  0.8609
Sb  0.0000  0.5000  0.6941
Sb  0.0000  0.5000  0.0719
Sb  0.5000  0.0000  0.9281
Sb  0.5000  0.0000  0.3059
N  0.0000  0.0000  0.5000
N  0.5000  0.5000  0.5000

=====

[12]
The following is a DFT calculation (PBE) of TiSnSbN2 after structural relaxation.

Output
volume: 19.42 A^3/atom
DOS at the Fermi energy: 0.7584 states/eV/atom
total magnetization: 0.0 μB per cell
E_tot: -5.158 eV per atom

abc: 4.0373 5.9584 4.0373
angles: 90.00 90.00 90.00
Element x y z (fractional)
Sb  0.0000  0.0000  0.0000
N  0.0000  0.0000  0.5000
N  0.5000  0.0000  0.0000
Sn  0.0000  0.5000  0.0000
Ti  0.5000  0.5000  0.5000

=====

[13]
The following is a DFT calculation (PBE) of TlSnSbN2 after structural relaxation.

Output
volume: 22.33 A^3/atom
DOS at the Fermi energy: 0.5519 states/eV/atom
total magnetization: 2.4 μB per cell
E_tot: -4.193 eV per atom

abc: 4.3013 6.0359 4.3013
angles: 90.00 90.00 90.00
Element x y z (fractional)
Sb  0.0000  0.5000  0.0000
Tl  0.5000  0.5000  0.5000
Sn  0.0000  0.0000  0.0000
N  0.0000  0.0000  0.5000
N  0.5000  0.0000  0.0000

=====

[14]
The following is a DFT calculation (PBE) of USnSb2N after structural relaxation.

Output
volume: 25.23 A^3/atom
DOS at the Fermi energy: 1.2133 states/eV/atom
total magnetization: 1.9 μB per cell
E_tot: -6.876 eV per atom

abc: 3.9204 3.9204 16.4156
angles: 90.00 90.00 90.00
Element x y z (fractional)
U  0.5000  0.0000  0.5689
U  0.0000  0.5000  0.4311
Sn  0.5000  0.0000  0.1509
Sn  0.0000  0.5000  0.8491
Sb  0.0000  0.5000  0.6727
Sb  0.0000  0.5000  0.0772
Sb  0.5000  0.0000  0.9228
Sb  0.5000  0.0000  0.3273
N  0.0000  0.0000  0.5000
N  0.5000  0.5000  0.5000

=====

[15]
The following is a DFT calculation (PBE) of Zn2SnSbN after structural relaxation.

Output
volume: 29.69 A^3/atom
DOS at the Fermi energy: 0.7423 states/eV/atom
total magnetization: 0.3 μB per cell
E_tot: -2.178 eV per atom

abc: 5.0012 5.9360 5.0012
angles: 90.00 90.00 90.00
Element x y z (fractional)
Sb  0.0000  0.5000  0.0000
Zn  0.0000  0.0000  0.5000
Zn  0.5000  0.0000  0.0000
Sn  0.0000  0.0000  0.0000
N  0.5000  0.5000  0.5000

=====

[16]
The following is a DFT calculation (PBE) of Sr2SbN after structural relaxation.

Output
volume: 29.11 A^3/atom
DOS at the Fermi energy: 0.3440 states/eV/atom
total magnetization: 0.0 μB per cell
E_tot: -4.404 eV per atom

abc: 3.7652 3.7652 9.7297
angles: 78.84 78.84 60.00
Element x y z (fractional)
Sb  0.0000  0.0000  0.0000
N  0.5000  0.5000  0.5000
Sr  0.1182  0.1182  0.6455
Sr  0.8818  0.8818  0.3545

=====

[17]
The following is a DFT calculation (PBE) of SrSbN2 after structural relaxation.

Output
volume: 19.81 A^3/atom
DOS at the Fermi energy: 0.1093 states/eV/atom
total magnetization: 0.0 μB per cell
E_tot: -5.622 eV per atom

abc: 5.6688 5.6688 6.3552
angles: 63.51 63.51 90.00
Element x y z (fractional)
Sb  0.0000  0.0000  0.0000
Sb  0.7500  0.2500  0.5000
N  0.6895  0.1250  0.2500
N  0.0605  0.6250  0.2500
N  0.3750  0.3105  0.7500
N  0.8750  0.9395  0.7500
Sr  0.5000  0.5000  0.0000
Sr  0.2500  0.7500  0.5000

=====

[18]
The following is a DFT calculation (PBE) of Sr2SbN after structural relaxation.

Output
volume: 29.28 A^3/atom
DOS at the Fermi energy: 1.8352 states/eV/atom
total magnetization: 0.0 μB per cell
E_tot: -4.295 eV per atom

abc: 7.6824 7.6824 6.7280
angles: 55.18 55.18 90.00
Element x y z (fractional)
Sb  0.0000  0.0000  0.0000
Sb  0.7500  0.2500  0.5000
N  0.5000  0.5000  0.0000
N  0.2500  0.7500  0.5000
Sr  0.5311  0.1250  0.2500
Sr  0.2189  0.6250  0.2500
Sr  0.3750  0.4689  0.7500
Sr  0.8750  0.7811  0.7500

=====

[19]
The following is a DFT calculation (PBE) of Sr6Sb3N after structural relaxation.

Output
volume: 35.34 A^3/atom
total magnetization: 0.0 μB per cell
E_tot: -3.961 eV per atom

abc: 7.7285 8.2529 11.0813
angles: 90.00 89.74 90.00
Element x y z (fractional)
Sr  0.7159  0.1717  0.9487
Sr  0.6670  0.2174  0.5602
Sr  0.6093  0.4542  0.2748
Sr  0.3907  0.5458  0.7252
Sr  0.3330  0.7826  0.4398
Sr  0.2841  0.8283  0.0513
Sr  0.2159  0.3283  0.4487
Sr  0.1670  0.2826  0.0602
Sr  0.1093  0.0458  0.7748
Sr  0.8907  0.9542  0.2252
Sr  0.8330  0.7174  0.9398
Sr  0.7841  0.6717  0.5513
Sb  0.5217  0.9285  0.7517
Sb  0.5000  0.5000  0.0000
Sb  0.4783  0.0715  0.2483
Sb  0.0217  0.5715  0.2517
Sb  0.0000  0.0000  0.5000
Sb  0.9783  0.4285  0.7483
N  0.5000  0.5000  0.5000
N  0.0000  0.0000  0.0000

=====

[20]
The following is a DFT calculation (PBE) of Sr4Sb2N after structural relaxation.

Output
volume: 30.44 A^3/atom
DOS at the Fermi energy: 0.7710 states/eV/atom
total magnetization: 0.0 μB per cell
E_tot: -4.166 eV per atom

abc: 4.9949 5.2807 8.4983
angles: 108.10 90.00 90.00
Element x y z (fractional)
Sr  0.0000  0.5000  0.0000
Sr  0.5000  0.0000  0.0000
Sr  0.0000  0.1629  0.3259
Sr  0.0000  0.8371  0.6741
Sb  0.5000  0.3508  0.7015
Sb  0.5000  0.6492  0.2985
N  0.0000  0.0000  0.0000

=====

[21]
The following is a DFT calculation (PBE) of Sr4SbN2 after structural relaxation.

Output
volume: 28.88 A^3/atom
DOS at the Fermi energy: 0.4669 states/eV/atom
total magnetization: 0.6 μB per cell
E_tot: -4.320 eV per atom

abc: 7.4006 8.4933 8.4933
angles: 61.49 64.17 64.17
Element x y z (fractional)
Sr  0.2868  0.1714  0.2550
Sr  0.2868  0.7550  0.6714
Sr  0.2603  0.2451  0.7451
Sr  0.7494  0.2451  0.7451
Sr  0.2506  0.7549  0.2549
Sr  0.7132  0.2450  0.3286
Sr  0.7397  0.7549  0.2549
Sr  0.7132  0.8286  0.7450
Sb  0.0000  0.5000  0.0000
Sb  0.5000  0.5000  0.0000
N  0.1463  0.1037  0.6037
N  0.5000  0.0000  0.0000
N  0.5000  0.5000  0.5000
N  0.8537  0.8963  0.3963

=====

[22]
The following is a DFT calculation (PBE) of SrSbN3 after structural relaxation.

Output
volume: 13.99 A^3/atom
DOS at the Fermi energy: 0.7158 states/eV/atom
total magnetization: 0.0 μB per cell
E_tot: -5.687 eV per atom

abc: 4.1198 4.1198 4.1198
angles: 90.00 90.00 90.00
Element x y z (fractional)
Sb  0.0000  0.0000  0.0000
N  0.0000  0.5000  0.0000
N  0.0000  0.0000  0.5000
N  0.5000  0.0000  0.0000
Sr  0.5000  0.5000  0.5000

=====

[23]
The following is a DFT calculation (PBE) of Sr6Sb2N after structural relaxation.

Output
volume: 33.93 A^3/atom
DOS at the Fermi energy: 0.4786 states/eV/atom
total magnetization: 0.0 μB per cell
E_tot: -3.693 eV per atom

abc: 7.5200 7.5871 10.7058
angles: 90.00 90.17 90.00
Element x y z (fractional)
Sr  0.9532  0.9942  0.2596
Sr  0.7978  0.7234  0.5236
Sr  0.7758  0.7027  0.9745
Sr  0.7242  0.2027  0.5255
Sr  0.7022  0.2234  0.9764
Sr  0.5468  0.4942  0.2404
Sr  0.0468  0.0058  0.7404
Sr  0.2022  0.2766  0.4764
Sr  0.2242  0.2973  0.0255
Sr  0.2758  0.7973  0.4745
Sr  0.2978  0.7766  0.0236
Sr  0.4532  0.5058  0.7596
Sb  0.9898  0.4688  0.7504
Sb  0.5102  0.9688  0.7496
Sb  0.4898  0.0312  0.2504
Sb  0.0102  0.5312  0.2496
N  0.5000  0.5000  0.0000
N  0.0000  0.0000  0.5000

=====

[24]
The following is a DFT calculation (PBE) of SrSbN2 after structural relaxation.

Output
volume: 22.12 A^3/atom
DOS at the Fermi energy: 0.8716 states/eV/atom
total magnetization: 0.0 μB per cell
E_tot: -5.340 eV per atom

abc: 6.8487 6.8487 6.8487
angles: 33.78 33.78 33.78
Element x y z (fractional)
Sb  0.0000  0.0000  0.0000
N  0.9000  0.9000  0.9000
N  0.1000  0.1000  0.1000
Sr  0.5000  0.5000  0.5000

=====

[25]
The following is a DFT calculation (PBE) of Sr4Sb2N after structural relaxation.

Output
volume: 31.83 A^3/atom
DOS at the Fermi energy: 0.8237 states/eV/atom
total magnetization: 0.1 μB per cell
E_tot: -4.229 eV per atom

abc: 5.1033 5.1033 9.2862
angles: 74.05 74.05 90.00
Element x y z (fractional)
Sb  0.6385  0.6385  0.7229
Sb  0.3615  0.3615  0.2771
N  0.0000  0.0000  0.0000
Sr  0.8369  0.8369  0.3262
Sr  0.1631  0.1631  0.6738
Sr  0.0000  0.5000  0.0000
Sr  0.5000  0.0000  0.0000